The following is a PBEsol calculation of an optimized crystal structure of Al3FeSi2, from Alexandria via LeMat-Bulk.

Computed properties:
ΔE_f (raw)   -0.30 eV per atom
Magnetic moment   0.0 μB/f.u.
Space group   No. 60
E_tot   -138.24 eV for the cell shown
Offset from the most stable computed form   0.000 eV per atom

Structure (CIF):
```
data_Al3FeSi2
_space_group_name_H-M_alt 'P 1'
_space_group_IT_number 1
_cell_length_a 6.008
_cell_length_b 6.008
_cell_length_c 9.408
_cell_angle_alpha 90.00
_cell_angle_beta 90.00
_cell_angle_gamma 90.00
loop_
_space_group_symop_operation_xyz
'x,y,z'
loop_
_atom_site_label
_atom_site_type_symbol
_atom_site_fract_x
_atom_site_fract_y
_atom_site_fract_z
Si1 Si 0.834 0.824 0.844
Fe1 Fe 0.500 0.985 0.750
Al1 Al 0.137 0.871 0.366
Fe2 Fe 0.000 0.485 0.750
Al2 Al 0.137 0.129 0.866
Al3 Al 0.500 0.000 0.000
Al4 Al 0.637 0.629 0.634
Al5 Al 0.000 0.500 0.000
Si2 Si 0.166 0.176 0.156
Si3 Si 0.334 0.676 0.156
Al6 Al 0.363 0.371 0.366
Al7 Al 0.363 0.629 0.866
Si4 Si 0.334 0.324 0.656
Si5 Si 0.666 0.324 0.844
Si6 Si 0.666 0.676 0.344
Fe3 Fe 0.500 0.015 0.250
Al8 Al 0.500 0.000 0.500
Si7 Si 0.166 0.824 0.656
Al9 Al 0.863 0.129 0.634
Al10 Al 0.863 0.871 0.134
Si8 Si 0.834 0.176 0.344
Al11 Al 0.000 0.500 0.500
Al12 Al 0.637 0.371 0.134
Fe4 Fe 0.000 0.515 0.250
```